First-principles (PBE) data for a relaxed structure of CoMo2PtBr, as listed in the Alexandria database.

abc: 4.902 4.902 5.110
angles: 90.00 90.00 90.00
Space group P4/mmm (No. 123)
One atom of each set of equivalent atoms:
Co1 0.000 0.000 0.000 [1 per cell]
Mo1 0.000 0.500 0.500 [2 per cell]
Pt1 0.500 0.500 0.500 [1 per cell]
Br1 0.500 0.500 0.000 [1 per cell]

Final energy = -5.26 eV per atom
Energy relative to the elements, uncorrected = 2.040 eV/atom
Density of states at the Fermi level = 1.24 states/eV per atom